No. 1
Computed, not measured: a relaxed structure of TbTmPb2 at the GGA-PBE level of DFT.

Cell and atoms, written as CIF:
```
data_TbTmPb2
_chemical_formula_sum 'Tb3 Tm3 Pb6'
_space_group_name_H-M_alt 'R -3 m'
_space_group_IT_number 166
_space_group_name_Hall '-R 3 2"'
_cell_length_a 3.8286
_cell_length_b 3.8286
_cell_length_c 27.9428
_cell_angle_alpha 90.00
_cell_angle_beta 90.00
_cell_angle_gamma 120.00
loop_
_atom_site_label
_atom_site_fract_x
_atom_site_fract_y
_atom_site_fract_z
Tb1 0.0000 0.0000 0.0000
Tm1 0.0000 0.0000 0.5000
Pb1 0.0000 0.0000 0.2488
```

Summary:
* formation energy: -1.341 eV per formula unit
* electronic total energy: -4.46 eV/atom
* DOS at the Fermi energy: 4.60 states/eV per cell

***

No. 2
Computed, not measured: a relaxed structure of Tb3TmPb3 at the GGA-PBE level of DFT.

Cell and atoms, written as CIF:
```
data_Tb3TmPb3
_chemical_formula_sum 'Tb6 Tm2 Pb6'
_space_group_name_H-M_alt 'P 63/m'
_space_group_IT_number 176
_space_group_name_Hall '-P 6c'
_cell_length_a 9.4973
_cell_length_b 9.4973
_cell_length_c 6.2013
_cell_angle_alpha 90.00
_cell_angle_beta 90.00
_cell_angle_gamma 120.00
loop_
_atom_site_label
_atom_site_fract_x
_atom_site_fract_y
_atom_site_fract_z
Tb1 0.0249 0.3312 0.2500
Tm1 0.3333 0.6667 0.7500
Pb1 0.0053 0.3463 0.7500
```

Summary:
* formation energy: -1.519 eV per formula unit
* electronic total energy: -4.43 eV/atom
* DOS at the Fermi energy: 4.09 states/eV per cell

***

No. 3
Computed, not measured: a relaxed structure of TbTmZnPb at the GGA-PBE level of DFT.

Cell and atoms, written as CIF:
```
data_TbTmZnPb
_chemical_formula_sum 'Tb4 Tm4 Zn4 Pb4'
_space_group_name_H-M_alt 'F -4 3 m'
_space_group_IT_number 216
_space_group_name_Hall 'F -4 2 3'
_cell_length_a 7.381
_cell_length_b 7.381
_cell_length_c 7.381
_cell_angle_alpha 90.00
_cell_angle_beta 90.00
_cell_angle_gamma 90.00
loop_
_atom_site_label
_atom_site_fract_x
_atom_site_fract_y
_atom_site_fract_z
Tb1 0.000 0.000 0.000
Tm1 0.000 0.000 0.500
Zn1 0.250 0.250 0.750
Pb1 0.250 0.250 0.250
```

Summary:
* formation energy: -1.394 eV per formula unit
* electronic total energy: -3.87 eV/atom
* DOS at the Fermi energy: 11.35 states/eV per cell

***

No. 4
Computed, not measured: a relaxed structure of TbUPb at the GGA-PBE level of DFT.

Cell and atoms, written as CIF:
```
data_TbUPb
_chemical_formula_sum 'Tb4 U4 Pb4'
_space_group_name_H-M_alt 'C 1 2/m 1'
_space_group_IT_number 12
_space_group_name_Hall '-C 2y'
_cell_length_a 17.056
_cell_length_b 3.821
_cell_length_c 4.998
_cell_angle_alpha 90.00
_cell_angle_beta 93.72
_cell_angle_gamma 90.00
loop_
_atom_site_label
_atom_site_fract_x
_atom_site_fract_y
_atom_site_fract_z
Tb1 0.073 0.000 0.258
U1 0.240 0.500 0.332
Pb1 0.104 0.500 0.770
```

Summary:
* formation energy: -0.341 eV per formula unit
* electronic total energy: -6.66 eV/atom
* DOS at the Fermi energy: 21.96 states/eV per cell